BeVCr2O6 after structural relaxation, computed with GGA+U.

Computed properties:
crystal system = triclinic
E_tot = -76.38 eV for the cell shown

Unit cell a=4.8992 b=4.9179 c=5.5019 alpha=63.69 beta=63.84 gamma=60.42
Sites, in units of the cell vectors:
1 O 0.5916 0.2273 0.2346
2 O 0.4339 0.7556 0.7143
3 O 0.7586 0.1040 0.7053
4 O 0.1067 0.4297 0.7257
5 O 0.2205 0.9425 0.2395
6 O 0.9452 0.5931 0.2400
7 Cr 0.5139 0.5122 0.4578
8 Cr 0.0151 0.0215 0.9432
9 Be 0.2580 0.2604 0.2167
10 V 0.8181 0.8152 0.5382